Record 1
TmS after structural relaxation. Source: Alexandria via LeMat-Bulk, functional PBE.

uncorrected formation energy = -1696 meV/atom
SG = No. 63

Unit cell a=4.677 b=4.677 c=5.369 alpha=90.00 beta=90.00 gamma=123.92
Element x y z (fractional)
Tm 0.158 0.842 0.750
Tm 0.842 0.158 0.250
S 0.161 0.839 0.250
S 0.839 0.161 0.750

=====

Record 2
Tm4S3 after structural relaxation. Source: Alexandria via LeMat-Bulk, functional PBE.

uncorrected formation energy = -1644 meV/atom
SG = No. 166

Unit cell a=12.705 b=12.705 c=12.705 alpha=17.05 beta=17.05 gamma=17.05
Element x y z (fractional)
Tm 0.122 0.122 0.122
Tm 0.371 0.371 0.371
Tm 0.629 0.629 0.629
Tm 0.878 0.878 0.878
S 0.252 0.252 0.252
S 0.500 0.500 0.500
S 0.748 0.748 0.748

=====

Record 3
Tm2S3 after structural relaxation. Source: Alexandria via LeMat-Bulk, functional PBE.

uncorrected formation energy = -2020 meV/atom
SG = No. 122

Unit cell a=13.613 b=13.613 c=13.613 alpha=144.80 beta=144.80 gamma=50.63
Element x y z (fractional)
Tm 0.050 0.429 0.902
Tm 0.164 0.164 0.000
Tm 0.179 0.300 0.402
Tm 0.223 0.821 0.121
Tm 0.258 0.125 0.633
Tm 0.375 0.742 0.867
Tm 0.492 0.625 0.367
Tm 0.527 0.148 0.098
Tm 0.571 0.473 0.621
Tm 0.586 0.086 0.500
Tm 0.700 0.102 0.879
Tm 0.836 0.836 0.000
Tm 0.852 0.950 0.379
Tm 0.875 0.508 0.133
Tm 0.898 0.777 0.598
Tm 0.914 0.414 0.500
S 0.074 0.828 0.615
S 0.172 0.788 0.246
S 0.189 0.092 0.745
S 0.194 0.596 0.755
S 0.209 0.462 0.885
S 0.212 0.459 0.385
S 0.248 0.002 0.120
S 0.346 0.444 0.255
S 0.404 0.158 0.597
S 0.502 0.122 0.255
S 0.538 0.422 0.746
S 0.541 0.926 0.754
S 0.556 0.811 0.903
S 0.561 0.806 0.403
S 0.578 0.324 0.115
S 0.676 0.791 0.254
S 0.752 0.498 0.620
S 0.842 0.439 0.245
S 0.867 0.248 0.745
S 0.872 0.752 0.755
S 0.878 0.133 0.380
S 0.883 0.128 0.880
S 0.908 0.654 0.097
S 0.998 0.117 0.245

=====

Record 4
Tm5S7 after structural relaxation. Source: Alexandria via LeMat-Bulk, functional PBE.

uncorrected formation energy = -2057 meV/atom
SG = No. 12

Unit cell a=6.599 b=6.599 c=11.478 alpha=103.90 beta=103.90 gamma=33.04
Element x y z (fractional)
Tm 0.000 0.000 0.000
Tm 0.112 0.112 0.421
Tm 0.300 0.300 0.187
Tm 0.700 0.700 0.813
Tm 0.888 0.888 0.579
S 0.041 0.041 0.785
S 0.259 0.259 0.647
S 0.341 0.341 0.949
S 0.500 0.500 0.500
S 0.659 0.659 0.051
S 0.741 0.741 0.353
S 0.959 0.959 0.215

=====

Record 5
Tm2S3 after structural relaxation. Source: Alexandria via LeMat-Bulk, functional PBE.

uncorrected formation energy = -2057 meV/atom
SG = No. 11

Unit cell a=10.901 b=3.888 c=11.156 alpha=90.00 beta=108.85 gamma=90.00
Element x y z (fractional)
Tm 0.043 0.250 0.190
Tm 0.161 0.250 0.584
Tm 0.317 0.750 0.997
Tm 0.432 0.250 0.332
Tm 0.568 0.750 0.668
Tm 0.683 0.250 0.003
Tm 0.839 0.750 0.416
Tm 0.957 0.750 0.810
S 0.082 0.750 0.402
S 0.110 0.250 0.963
S 0.191 0.750 0.750
S 0.254 0.750 0.223
S 0.398 0.250 0.564
S 0.477 0.250 0.113
S 0.523 0.750 0.887
S 0.602 0.750 0.436
S 0.746 0.250 0.777
S 0.809 0.250 0.250
S 0.890 0.750 0.037
S 0.918 0.250 0.598

=====

Record 6
Tm2S3 after structural relaxation. Source: Alexandria via LeMat-Bulk, functional PBE.

uncorrected formation energy = -2050 meV/atom
SG = No. 62

Unit cell a=10.504 b=3.812 c=10.392 alpha=90.00 beta=90.00 gamma=90.00
Element x y z (fractional)
Tm 0.011 0.250 0.187
Tm 0.192 0.250 0.504
Tm 0.308 0.750 0.004
Tm 0.489 0.750 0.687
Tm 0.511 0.250 0.313
Tm 0.692 0.250 0.996
Tm 0.808 0.750 0.496
Tm 0.989 0.750 0.813
S 0.046 0.750 0.373
S 0.119 0.250 0.944
S 0.227 0.750 0.694
S 0.273 0.250 0.194
S 0.381 0.750 0.444
S 0.454 0.250 0.873
S 0.546 0.750 0.127
S 0.619 0.250 0.556
S 0.727 0.750 0.806
S 0.773 0.250 0.306
S 0.881 0.750 0.056
S 0.954 0.250 0.627